# 1
{
  "formula": "Tb2PmHo2Er2",
  "functional": "PBE",
  "state": "optimized geometry",
  "magmom_total_mub_per_atom": 0.000,
  "e_form_ev_per_atom": 0.02,
  "total_energy_ev_per_atom": -4.595,
  "cell": [[5.598, -2.508, 0.000], [5.598, 2.508, 0.000], [-1.126, 0.000, 7.853]],
  "species": ["Tb", "Tb", "Pm", "Ho", "Ho", "Er", "Er"],
  "fractional_positions": [[0.143, 0.143, 0.430], [0.857, 0.857, 0.570], [0.000, 0.000, 0.000], [0.428, 0.428, 0.286], [0.572, 0.572, 0.714], [0.286, 0.286, 0.857], [0.714, 0.714, 0.143]]
}

---

# 2
{
  "formula": "Tb2Pm3Ho6Er",
  "functional": "PBE",
  "state": "optimized geometry",
  "magmom_total_mub_per_atom": 0.000,
  "e_form_ev_per_atom": 0.02,
  "total_energy_ev_per_atom": -4.611,
  "cell": [[3.086, -5.341, 0.000], [3.086, 5.341, 0.000], [-2.049, 0.000, 11.587]],
  "species": ["Tb", "Tb", "Pm", "Pm", "Pm", "Ho", "Ho", "Ho", "Ho", "Ho", "Ho", "Er"],
  "fractional_positions": [[0.167, 0.833, 0.000], [0.833, 0.167, 0.000], [0.000, 0.000, 0.500], [0.333, 0.667, 0.500], [0.667, 0.333, 0.500], [0.084, 0.417, 0.753], [0.250, 0.250, 0.247], [0.417, 0.084, 0.753], [0.583, 0.916, 0.247], [0.750, 0.750, 0.753], [0.916, 0.583, 0.247], [0.500, 0.500, 0.000]]
}

---

# 3
{
  "formula": "Tb2Pm2HoEr4",
  "functional": "PBE",
  "state": "optimized geometry",
  "magmom_total_mub_per_atom": 0.000,
  "e_form_ev_per_atom": 0.00,
  "total_energy_ev_per_atom": -4.624,
  "cell": [[9.298, -1.791, 0.000], [9.298, 1.791, 0.000], [-4.135, 0.000, 8.577]],
  "species": ["Tb", "Tb", "Pm", "Pm", "Ho", "Er", "Er", "Er", "Er"],
  "fractional_positions": [[0.147, 0.147, 0.163], [0.853, 0.853, 0.837], [0.335, 0.335, 0.500], [0.665, 0.665, 0.500], [0.000, 0.000, 0.500], [0.185, 0.185, 0.836], [0.481, 0.481, 0.166], [0.519, 0.519, 0.834], [0.815, 0.815, 0.164]]
}

---

# 4
{
  "formula": "Tb3PmHoEr",
  "functional": "PBE",
  "state": "optimized geometry",
  "magmom_total_mub_per_atom": 0.000,
  "e_form_ev_per_atom": 0.12,
  "total_energy_ev_per_atom": -4.505,
  "cell": [[2.868, -5.798, 0.000], [2.868, 5.798, 0.000], [0.000, 0.000, 11.561]],
  "species": ["Tb", "Tb", "Tb", "Tb", "Tb", "Tb", "Pm", "Pm", "Ho", "Ho", "Er", "Er"],
  "fractional_positions": [[0.135, 0.865, 0.750], [0.326, 0.674, 0.532], [0.326, 0.674, 0.968], [0.674, 0.326, 0.032], [0.674, 0.326, 0.468], [0.865, 0.135, 0.250], [0.473, 0.527, 0.250], [0.527, 0.473, 0.750], [0.000, 0.000, 0.000], [0.000, 0.000, 0.500], [0.173, 0.827, 0.250], [0.827, 0.173, 0.750]]
}

---

# 5
{
  "formula": "TbPm2Ho4Er2",
  "functional": "PBE",
  "state": "optimized geometry",
  "magmom_total_mub_per_atom": 0.000,
  "e_form_ev_per_atom": 0.09,
  "total_energy_ev_per_atom": -4.533,
  "cell": [[5.982, 0.000, 0.000], [2.790, 5.980, 0.000], [2.864, 0.308, 8.041]],
  "species": ["Tb", "Pm", "Pm", "Ho", "Ho", "Ho", "Ho", "Er", "Er"],
  "fractional_positions": [[0.000, 0.000, 0.000], [0.270, 0.674, 0.658], [0.730, 0.326, 0.342], [0.260, 0.423, 0.114], [0.381, 0.873, 0.240], [0.619, 0.127, 0.760], [0.740, 0.577, 0.886], [0.179, 0.230, 0.555], [0.821, 0.770, 0.445]]
}

---

# 6
{
  "formula": "TbPm6Ho3Er2",
  "functional": "PBE",
  "state": "optimized geometry",
  "magmom_total_mub_per_atom": 0.000,
  "e_form_ev_per_atom": 0.01,
  "total_energy_ev_per_atom": -4.653,
  "cell": [[3.114, -5.392, 0.000], [3.114, 5.392, 0.000], [-2.067, 0.000, 11.613]],
  "species": ["Tb", "Pm", "Pm", "Pm", "Pm", "Pm", "Pm", "Ho", "Ho", "Ho", "Er", "Er"],
  "fractional_positions": [[0.000, 0.000, 0.000], [0.084, 0.417, 0.250], [0.250, 0.250, 0.750], [0.417, 0.084, 0.250], [0.583, 0.916, 0.750], [0.750, 0.750, 0.250], [0.916, 0.583, 0.750], [0.167, 0.833, 0.500], [0.500, 0.500, 0.500], [0.833, 0.167, 0.500], [0.333, 0.667, 0.000], [0.667, 0.333, 0.000]]
}

---

# 7
{
  "formula": "TbPm2Ho6Er3",
  "functional": "PBE",
  "state": "optimized geometry",
  "magmom_total_mub_per_atom": 0.000,
  "e_form_ev_per_atom": 0.02,
  "total_energy_ev_per_atom": -4.588,
  "cell": [[3.070, -5.312, 0.000], [3.070, 5.312, 0.000], [-2.036, 0.000, 11.552]],
  "species": ["Tb", "Pm", "Pm", "Ho", "Ho", "Ho", "Ho", "Ho", "Ho", "Er", "Er", "Er"],
  "fractional_positions": [[0.000, 0.000, 0.000], [0.333, 0.667, 0.000], [0.667, 0.333, 0.000], [0.085, 0.418, 0.253], [0.248, 0.248, 0.747], [0.418, 0.085, 0.253], [0.582, 0.915, 0.747], [0.752, 0.752, 0.253], [0.915, 0.582, 0.747], [0.166, 0.834, 0.500], [0.500, 0.500, 0.500], [0.834, 0.166, 0.500]]
}

---

# 8
{
  "formula": "Tb6Pm3HoEr2",
  "functional": "PBE",
  "state": "optimized geometry",
  "magmom_total_mub_per_atom": 0.000,
  "e_form_ev_per_atom": 0.02,
  "total_energy_ev_per_atom": -4.628,
  "cell": [[3.093, -5.355, 0.000], [3.093, 5.355, 0.000], [-2.054, 0.000, 11.651]],
  "species": ["Tb", "Tb", "Tb", "Tb", "Tb", "Tb", "Pm", "Pm", "Pm", "Ho", "Er", "Er"],
  "fractional_positions": [[0.084, 0.418, 0.754], [0.249, 0.249, 0.246], [0.418, 0.084, 0.754], [0.582, 0.916, 0.246], [0.751, 0.751, 0.754], [0.916, 0.582, 0.246], [0.000, 0.000, 0.500], [0.333, 0.667, 0.500], [0.667, 0.333, 0.500], [0.500, 0.500, 0.000], [0.167, 0.833, 0.000], [0.833, 0.167, 0.000]]
}